Os4C | GGA-PBE | optimized geometry

Cell: 4.9902 4.9902 4.9902 Å, 94.30 94.30 148.22°
Element x y z (fractional)
Os  0.0748  0.7349  0.8098
Os  0.2651  0.0748  0.3399
Os  0.7349  0.9252  0.6601
Os  0.9252  0.2651  0.1902
C  0.5000  0.5000  0.0000

Total magnetic moment (μB per atom): 0.00
Symmetry: I4/m, No. 87
Relative energy among the computed polymorphs (meV/atom): 130
Energy of formation (eV per atom): 0.582
Uncorrected energy (eV/atom): -10.25
DOS(E_F) (states/eV per atom): 0.6649

OsC3 | GGA-PBE | optimized geometry

Cell: 4.0183 4.0183 18.1189 Å, 90.00 90.00 120.00°
Element x y z (fractional)
Os  0.0000  0.0000  0.0000
Os  0.0000  0.0000  0.5000
Os  0.3333  0.6667  0.2500
Os  0.6667  0.3333  0.7500
C  0.0000  0.5000  0.0000
C  0.0000  0.5000  0.5000
C  0.1213  0.2427  0.7500
C  0.1213  0.8787  0.7500
C  0.2427  0.1213  0.2500
C  0.5000  0.0000  0.0000
C  0.5000  0.0000  0.5000
C  0.5000  0.5000  0.0000
C  0.5000  0.5000  0.5000
C  0.7573  0.8787  0.7500
C  0.8787  0.1213  0.2500
C  0.8787  0.7573  0.2500

Total magnetic moment (μB per atom): 0.00
Symmetry: P6_3/mmc, No. 194
Relative energy among the computed polymorphs (meV/atom): 1258
Energy of formation (eV per atom): 2.194
Uncorrected energy (eV/atom): -7.53
DOS(E_F) (states/eV per atom): 0.3683

OsC3 | GGA-PBE | optimized geometry

Cell: 3.6213 3.6213 3.6213 Å, 109.47 109.47 109.47°
Element x y z (fractional)
Os  0.0000  0.0000  0.0000
C  0.0000  0.5000  0.5000
C  0.5000  0.0000  0.5000
C  0.5000  0.5000  0.0000

Total magnetic moment (μB per atom): 0.00
Symmetry: Im-3m, No. 229
Relative energy among the computed polymorphs (meV/atom): 1476
Energy of formation (eV per atom): 2.412
Uncorrected energy (eV/atom): -7.31
DOS(E_F) (states/eV per atom): 0.8717

Os5C | GGA-PBE | optimized geometry

Cell: 2.7313 2.7313 10.3350 Å, 90.00 90.00 90.00°
Element x y z (fractional)
Os  0.0000  0.0000  0.0000
Os  0.0000  0.0000  0.3727
Os  0.0000  0.0000  0.6273
Os  0.5000  0.5000  0.1872
Os  0.5000  0.5000  0.8128
C  0.5000  0.5000  0.5000

Total magnetic moment (μB per atom): 0.00
Symmetry: P4/mmm, No. 123
Relative energy among the computed polymorphs (meV/atom): 57
Energy of formation (eV per atom): 0.524
Uncorrected energy (eV/atom): -10.37
DOS(E_F) (states/eV per atom): 0.5907

OsC | GGA-PBE | optimized geometry

Cell: 3.4402 3.4402 4.2145 Å, 90.00 90.00 114.61°
Element x y z (fractional)
Os  0.2349  0.7651  0.7500
Os  0.7651  0.2349  0.2500
C  0.1201  0.8799  0.2500
C  0.8799  0.1201  0.7500

Total magnetic moment (μB per atom): 0.00
Symmetry: Cmcm, No. 63
Relative energy among the computed polymorphs (meV/atom): 88
Energy of formation (eV per atom): 0.808
Uncorrected energy (eV/atom): -9.42
DOS(E_F) (states/eV per atom): 0.2595

Os5C3 | GGA-PBE | optimized geometry

Cell: 5.5414 6.0773 6.7317 Å, 85.22 66.60 71.50°
Element x y z (fractional)
Os  0.0213  0.2831  0.2854
Os  0.2111  0.8050  0.1900
Os  0.2604  0.2787  0.8271
Os  0.2729  0.0148  0.4958
Os  0.4793  0.6523  0.7549
Os  0.5207  0.3477  0.2451
Os  0.7271  0.9852  0.5042
Os  0.7396  0.7213  0.1729
Os  0.7889  0.1950  0.8100
Os  0.9787  0.7169  0.7146
C  0.2192  0.4938  0.0885
C  0.3037  0.9593  0.9248
C  0.3492  0.4845  0.5649
C  0.6508  0.5155  0.4351
C  0.6963  0.0407  0.0752
C  0.7808  0.5062  0.9115

Total magnetic moment (μB per atom): 0.00
Symmetry: P-1, No. 2
Relative energy among the computed polymorphs (meV/atom): 0
Energy of formation (eV per atom): 0.860
Uncorrected energy (eV/atom): -9.62
DOS(E_F) (states/eV per atom): 0.5187